Run A
The following is a PBE calculation of a relaxed CaMgPb3 crystal, from Alexandria via LeMat-Bulk.

POSCAR file:
```
CaMgPb3
1.0
5.472 0.000 0.000
0.000 6.615 0.000
-2.715 0.000 8.304
Ca Mg Pb
2 2 6
Direct
0.196 0.250 0.399 Ca
0.804 0.750 0.601 Ca
0.399 0.250 0.806 Mg
0.601 0.750 0.194 Mg
0.000 0.000 0.000 Pb
0.000 0.500 0.000 Pb
0.191 0.750 0.374 Pb
0.414 0.750 0.822 Pb
0.586 0.250 0.178 Pb
0.809 0.250 0.626 Pb
```

ρ = 7.58 g cm⁻³
Space-group type = P2_1/m, No. 11

---

Run B
The following is a PBE calculation of a relaxed CaMgPb3 crystal, from Alexandria via LeMat-Bulk.

POSCAR file:
```
CaMgPb3
1.0
5.882 0.000 0.000
0.000 5.882 0.000
0.000 0.000 5.882
Ca Mg Pb
1 1 3
Direct
0.000 0.000 0.000 Ca
0.500 0.500 0.500 Mg
0.000 0.000 0.500 Pb
0.000 0.500 0.000 Pb
0.500 0.000 0.000 Pb
```

ρ = 5.60 g cm⁻³
Space-group type = Pm-3m, No. 221

---

Run C
The following is a PBE calculation of a relaxed CaMgPb3 crystal, from Alexandria via LeMat-Bulk.

POSCAR file:
```
CaMgPb3
1.0
16.256 -1.806 0.000
16.256 1.806 0.000
-0.835 0.000 5.303
Ca Mg Pb
2 2 6
Direct
0.068 0.068 0.306 Ca
0.932 0.932 0.694 Ca
0.379 0.379 0.148 Mg
0.621 0.621 0.852 Mg
0.205 0.205 0.932 Pb
0.333 0.333 0.604 Pb
0.472 0.472 0.228 Pb
0.528 0.528 0.772 Pb
0.667 0.667 0.396 Pb
0.795 0.795 0.068 Pb
```

ρ = 7.32 g cm⁻³
Space-group type = C2/m, No. 12

---

Which is most stable? The ranking, best first, is run A, run C, run B.

---

Run A
The following is a PBE calculation of a relaxed CaMg2Pb5 crystal, from Alexandria via LeMat-Bulk.

POSCAR file:
```
CaMg2Pb5
1.0
5.794 -2.901 0.000
5.794 2.901 0.000
-2.201 0.000 6.906
Ca Mg Pb
1 2 5
Direct
0.000 0.000 0.000 Ca
0.493 0.493 0.719 Mg
0.507 0.507 0.281 Mg
0.000 0.000 0.500 Pb
0.257 0.257 0.369 Pb
0.276 0.276 0.892 Pb
0.724 0.724 0.108 Pb
0.743 0.743 0.631 Pb
```

ρ = 8.04 g cm⁻³
Space-group type = C2/m, No. 12

---

Run B
The following is a PBE calculation of a relaxed CaMg2Pb5 crystal, from Alexandria via LeMat-Bulk.

POSCAR file:
```
CaMg2Pb5
1.0
-4.184 4.184 6.602
4.184 -4.184 6.602
4.184 4.184 -6.602
Ca Mg Pb
2 4 10
Direct
0.250 0.250 0.000 Ca
0.750 0.750 0.000 Ca
0.145 0.645 0.789 Mg
0.355 0.145 0.500 Mg
0.645 0.855 0.500 Mg
0.855 0.355 0.211 Mg
0.000 0.000 0.000 Pb
0.015 0.803 0.500 Pb
0.197 0.697 0.213 Pb
0.303 0.515 0.500 Pb
0.485 0.985 0.787 Pb
0.500 0.500 0.000 Pb
0.515 0.015 0.213 Pb
0.697 0.485 0.500 Pb
0.803 0.303 0.787 Pb
0.985 0.197 0.500 Pb
```

ρ = 8.08 g cm⁻³
Space-group type = I4/mcm, No. 140

---

Which is most stable? The ranking, best first, is run B, run A.

---

Run A
The following is a PBE calculation of a relaxed Ca3MgPb crystal, from Alexandria via LeMat-Bulk.

POSCAR file:
```
Ca3MgPb
1.0
3.595 0.000 0.000
0.014 8.334 0.000
0.006 2.808 11.144
Ca Mg Pb
6 2 2
Direct
0.000 0.184 0.059 Ca
0.000 0.816 0.941 Ca
0.002 0.765 0.448 Ca
0.004 0.496 0.235 Ca
0.996 0.504 0.765 Ca
0.998 0.235 0.552 Ca
0.498 0.872 0.670 Mg
0.501 0.128 0.330 Mg
0.498 0.158 0.808 Pb
0.502 0.842 0.192 Pb
```

ρ = 3.50 g cm⁻³
Space-group type = P-1, No. 2

---

Run B
The following is a PBE calculation of a relaxed Ca3MgPb crystal, from Alexandria via LeMat-Bulk.

POSCAR file:
```
Ca3MgPb
1.0
6.031 0.000 0.000
0.000 6.031 0.000
0.000 0.000 6.031
Ca Mg Pb
3 1 1
Direct
0.000 0.000 0.500 Ca
0.000 0.500 0.000 Ca
0.500 0.000 0.000 Ca
0.500 0.500 0.500 Mg
0.000 0.000 0.000 Pb
```

ρ = 2.66 g cm⁻³
Space-group type = Pm-3m, No. 221

---

Which is most stable? The ranking, best first, is run A, run B.